(1)
Here is crystalline La2SnHAu at its relaxed geometry from Alexandria. Energies are from PBE.

Summary:
total magnetic moment = 0.00 Bohr magnetons per cell
space group = No. 123

```
La2SnHAu
1.0
-0.748 -0.893 -5.042
-3.685 -3.443 1.157
-2.969 3.139 -0.115
H La Sn Au
1 2 1 1
Cartesian
0.000 0.000 0.000
-1.843 -1.722 0.578
-0.374 -0.446 -2.521
-3.701 -0.599 -2.000
-1.484 1.569 -0.058
```

---

(2)
Here is crystalline LaSnH2Au at its relaxed geometry from Alexandria. Energies are from PBE.

Summary:
total magnetic moment = 0.00 Bohr magnetons per cell
space group = No. 8

```
LaSnH2Au
1.0
4.655 0.000 0.014
0.000 4.663 0.000
-0.173 0.000 8.090
Au La H Sn
2 2 4 2
Cartesian
0.173 2.332 5.598
0.260 0.000 1.553
2.768 0.000 6.940
2.854 2.332 2.895
1.720 2.332 6.509
3.211 0.000 1.402
1.806 0.000 2.465
3.125 2.332 5.447
0.819 2.332 0.256
0.733 0.000 4.300
```

---

(3)
Here is crystalline LaSnH2Au at its relaxed geometry from Alexandria. Energies are from PBE.

Summary:
total magnetic moment = 0.00 Bohr magnetons per cell
space group = No. 44

```
LaSnH2Au
1.0
4.812 0.000 0.000
0.000 5.176 0.000
0.000 0.000 7.135
La Sn H Au
2 2 4 2
Cartesian
0.000 2.588 0.095
2.406 0.000 3.662
0.000 2.588 3.770
2.406 0.000 0.202
2.406 2.985 5.861
0.000 4.779 2.294
0.000 0.397 2.294
2.406 2.191 5.861
2.406 2.588 2.031
0.000 0.000 5.598
```

---

(4)
Here is crystalline LaSnH2Au at its relaxed geometry from Alexandria. Energies are from PBE.

Summary:
total magnetic moment = 0.00 Bohr magnetons per cell
space group = No. 8

```
LaSnH2Au
1.0
-3.266 -5.570 0.624
-0.032 -0.420 -3.919
7.794 -1.223 0.067
Au H Sn La
2 4 2 2
Cartesian
1.395 -0.624 -1.927
5.308 -1.025 0.066
3.395 -4.556 -1.522
0.411 -2.324 -1.737
4.324 -2.726 0.256
-0.486 -3.734 0.404
6.434 -2.852 -1.730
2.553 -2.031 0.197
0.775 -4.589 -1.497
4.688 -4.990 0.496
```

---

| no. | E_tot (eV/atom) | calculated volume (Å³ per cell) |
| --- | --- | --- |
| 1 | -4.719 | 115.72 |
| 2 | -4.164 | 175.60 |
| 3 | -4.234 | 177.71 |
| 4 | -4.069 | 187.95 |